Record 1
The following is a DFT calculation (PBE-GGA) of a relaxed Tl5ZnHg5 crystal.

For the energy, the calculation gives -1.275 eV/atom. The energy relative to the elements is 53.2 meV/atom.

a = 5.241 Å, b = 7.512 Å, c = 16.384 Å
α = 90.00°, β = 90.00°, γ = 90.00°
Space group Immm (No. 71)
Symmetry-distinct sites (fractional):
Tl 0.000 0.000 0.000
Tl 0.000 0.000 0.298
Tl 0.000 0.500 0.358
Zn 0.000 0.500 0.000
Hg 0.000 0.000 0.500
Hg 0.000 0.278 0.148

Record 2
The following is a DFT calculation (PBE-GGA) of a relaxed Fe2BRhW crystal.

For the energy, the calculation gives -6.521 eV/atom. The energy relative to the elements is 2260.1 meV/atom.

a = 4.485 Å, b = 4.485 Å, c = 4.711 Å
α = 90.00°, β = 90.00°, γ = 90.00°
Space group P4/mmm (No. 123)
Symmetry-distinct sites (fractional):
Fe 0.000 0.500 0.000
B 0.000 0.000 0.500
Rh 0.500 0.500 0.500
W 0.500 0.500 0.000

Record 3
The following is a DFT calculation (PBE-GGA) of a relaxed Nd6TlRu2 crystal.

The energy above the lowest structure with this stoichiometry comes out at 0 meV/atom. For the energy, the calculation gives -5.753 eV/atom. The energy relative to the elements is -250.0 meV/atom.

a = 9.678 Å, b = 10.011 Å, c = 10.676 Å
α = 90.00°, β = 90.00°, γ = 90.00°
Space group Immm (No. 71)
Symmetry-distinct sites (fractional):
Nd 0.000 0.206 0.237
Nd 0.188 0.500 0.172
Nd 0.214 0.317 0.500
Tl 0.000 0.000 0.000
Tl 0.000 0.000 0.500
Ru 0.000 0.328 0.000
Ru 0.000 0.500 0.376

Record 4
The following is a DFT calculation (PBE-GGA) of a relaxed SrTe2Au crystal.

For the uncorrected formation energy, the calculation gives -2.2 eV/f.u. For the energy, the calculation gives -3.368 eV/atom.

a = 4.557 Å, b = 4.557 Å, c = 11.101 Å
α = 90.00°, β = 90.00°, γ = 90.00°
Space group I4/mmm (No. 139)
Symmetry-distinct sites (fractional):
Sr 0.000 0.000 0.000
Te 0.000 0.500 0.250
Au 0.000 0.000 0.500

Record 5
The following is a DFT calculation (PBE-GGA) of a relaxed TiSbAu crystal.

For the uncorrected formation energy, the calculation gives 0.1 eV/f.u. For the energy, the calculation gives -5.069 eV/atom.

a = 3.215 Å, b = 5.187 Å, c = 15.141 Å
α = 90.00°, β = 90.00°, γ = 90.00°
Space group Immm (No. 71)
Symmetry-distinct sites (fractional):
Ti 0.000 0.000 0.169
Sb 0.000 0.000 0.352
Au 0.000 0.246 0.000

Record 6
The following is a DFT calculation (PBE-GGA) of a relaxed BaTaNF2 crystal.

The energy above the lowest structure with this stoichiometry comes out at 0 meV/atom. For the uncorrected formation energy, the calculation gives -8.9 eV/f.u. For the energy, the calculation gives -6.942 eV/atom.

a = 4.432 Å, b = 4.432 Å, c = 4.107 Å
α = 90.00°, β = 90.00°, γ = 90.00°
Space group P4/mmm (No. 123)
Symmetry-distinct sites (fractional):
Ba 0.000 0.000 0.000
Ta 0.500 0.500 0.500
N 0.500 0.500 0.000
F 0.000 0.500 0.500

Record 7
The following is a DFT calculation (PBE-GGA) of a relaxed CuTe crystal.

For the uncorrected formation energy, the calculation gives 0.2 eV/f.u. For the energy, the calculation gives -3.497 eV/atom.

a = 8.003 Å, b = 8.003 Å, c = 8.003 Å
α = 90.00°, β = 90.00°, γ = 90.00°
Space group I-43m (No. 217)
Symmetry-distinct sites (fractional):
Cu 0.144 0.144 0.144
Te 0.176 0.176 0.824

Record 8
The following is a DFT calculation (PBE-GGA) of a relaxed NbP2OsS crystal.

The energy above the lowest structure with this stoichiometry comes out at 427 meV/atom. For the uncorrected formation energy, the calculation gives 6.3 eV/f.u. For the energy, the calculation gives -5.986 eV/atom.

a = 4.838 Å, b = 4.838 Å, c = 4.613 Å
α = 90.00°, β = 90.00°, γ = 90.00°
Space group P4/mmm (No. 123)
Symmetry-distinct sites (fractional):
Nb 0.000 0.000 0.000
P 0.000 0.500 0.000
Os 0.500 0.500 0.500
S 0.000 0.000 0.500

Record 9
The following is a DFT calculation (PBE-GGA) of a relaxed YTa2In crystal.

For the energy, the calculation gives -7.952 eV/atom. The energy relative to the elements is 275.3 meV/atom.

a = 9.928 Å, b = 3.070 Å, c = 5.799 Å
α = 90.00°, β = 97.08°, γ = 90.00°
Space group Cm (No. 8)
Symmetry-distinct sites (fractional):
Y 0.000 0.000 0.000
Ta 0.009 0.500 0.483
Ta 0.267 0.500 0.287
In 0.248 0.000 0.737

Record 10
The following is a DFT calculation (PBE-GGA) of a relaxed Pr8InOs2 crystal.

For the energy, the calculation gives -5.842 eV/atom. The energy relative to the elements is -74.9 meV/atom.

a = 9.159 Å, b = 13.646 Å, c = 5.649 Å
α = 90.00°, β = 102.76°, γ = 90.00°
Space group Cm (No. 8)
Symmetry-distinct sites (fractional):
Pr 0.000 0.000 0.000
Pr 0.079 0.370 0.770
Pr 0.193 0.130 0.637
Pr 0.271 0.500 0.406
Pr 0.386 0.252 0.203
In 0.385 0.000 0.203
Os 0.386 0.313 0.703

Record 11
The following is a DFT calculation (PBE-GGA) of a relaxed NaTb2Hg crystal.

The energy above the lowest structure with this stoichiometry comes out at 1 meV/atom. For the energy, the calculation gives -2.776 eV/atom. The energy relative to the elements is -55.7 meV/atom.

a = 3.772 Å, b = 3.772 Å, c = 8.379 Å
α = 90.00°, β = 90.00°, γ = 90.00°
Space group P4/mmm (No. 123)
Symmetry-distinct sites (fractional):
Na 0.000 0.000 0.000
Tb 0.500 0.500 0.291
Hg 0.000 0.000 0.500

Record 12
The following is a DFT calculation (PBE-GGA) of a relaxed Mn3Fe3Si2 crystal.

For the uncorrected formation energy, the calculation gives -2.1 eV/f.u. For the energy, the calculation gives -8.226 eV/atom.

a = 3.9573 Å, b = 3.9573 Å, c = 19.3924 Å
α = 90.00°, β = 90.00°, γ = 120.00°
Space group R3m (No. 160, hexagonal axes)
Symmetry-distinct sites (fractional):
Mn 0.0000 0.0000 0.0000
Mn 0.0000 0.0000 0.2503
Mn 0.0000 0.0000 0.7493
Fe 0.0000 0.0000 0.3748
Fe 0.0000 0.0000 0.4993
Fe 0.0000 0.0000 0.8739
Si 0.0000 0.0000 0.1253
Si 0.0000 0.0000 0.6241